# SrLa2Ta

An optimized crystal structure of SrLa2Ta (PBEsol, Alexandria via LeMat-Bulk).

Output
Magnetic moment   0.00 μB per atom
Energy relative to the lowest polymorph listed for this composition   0.0 meV/atom
Raw total energy   -5.70 eV per atom
DFT formation energy   0.569 eV/atom

a b c (Å): 10.462 3.307 6.912
angles (deg): 90.00 96.49 90.00
Space group C2/m (No. 12)
Symmetry-distinct sites (fractional):
Sr: 0.000 0.000 0.000 x2
La: 0.235 0.000 0.708 x4
Ta: 0.000 0.500 0.500 x2